Density functional theory data (GGA-PBE) for a relaxed La2NbO6 crystal.

Results
DOS(E_F)   0.70 states/eV per atom
Formation energy without anion corrections   -2.8344 eV/atom
Final energy   -8.35 eV/atom
Space group   P4_2/mnm

a b c (Å): 5.256 5.256 10.630
angles (deg): 90.00 90.00 90.00
Sites, in units of the cell vectors:
La: 0.000 0.000 0.331
La: 0.500 0.500 0.831
La: 0.500 0.500 0.169
La: 0.000 0.000 0.669
Nb: 0.000 0.000 0.000
Nb: 0.500 0.500 0.500
O: 0.319 0.319 0.357
O: 0.681 0.681 0.357
O: 0.181 0.819 0.857
O: 0.819 0.181 0.857
O: 0.181 0.819 0.143
O: 0.819 0.181 0.143
O: 0.319 0.319 0.643
O: 0.681 0.681 0.643
O: 0.273 0.273 0.000
O: 0.727 0.727 0.000
O: 0.227 0.773 0.500
O: 0.773 0.227 0.500

***

Density functional theory data (GGA-PBE) for a relaxed KTlPb2Br6 crystal.

Results
DOS(E_F)   0.00 states/eV per atom
Formation energy without anion corrections   -1.0768 eV/atom
Final energy   -3.17 eV/atom
Space group   R3

a b c (Å): 8.116 8.115 8.370
angles (deg): 60.99 60.99 59.98
Sites, in units of the cell vectors:
K: 0.303 0.303 0.090
Tl: 0.804 0.804 0.587
Pb: 0.513 0.513 0.460
Pb: 0.014 0.014 0.959
Br: 0.652 0.237 0.237
Br: 0.236 0.874 0.237
Br: 0.874 0.653 0.237
Br: 0.369 0.738 0.736
Br: 0.738 0.157 0.736
Br: 0.158 0.369 0.736

***

Density functional theory data (GGA-PBE) for a relaxed Ce2NdHg8 crystal.

Results
DOS(E_F)   1.61 states/eV per atom
Final energy   -2.03 eV/atom
Space group   C2/m
Energy of formation   -3.3 eV per formula unit
Energy above the lowest structure with this stoichiometry   0 meV/atom

a b c (Å): 5.130 7.370 8.482
angles (deg): 109.38 107.60 90.00
Sites, in units of the cell vectors:
Ce: 0.792 0.350 0.584
Ce: 0.208 0.650 0.416
Nd: 0.500 0.000 0.000
Hg: 0.406 0.544 0.812
Hg: 0.671 0.897 0.342
Hg: 0.847 0.835 0.695
Hg: 0.982 0.274 0.963
Hg: 0.153 0.165 0.305
Hg: 0.329 0.103 0.658
Hg: 0.594 0.456 0.188
Hg: 0.018 0.726 0.037

***

- Among the records above, which one has the highest final energy?
  Ce2NdHg8